First-principles (PBE-GGA) data for a relaxed Hf2ScCd crystal, as listed in the Alexandria database.

Summary:
Energy of formation in meV/atom: -34.2
ρ in g/cm3: 9.4
DOS at the Fermi energy in states/eV per atom: 1.065

Unit cell a=3.1947 b=5.5410 c=10.4517 alpha=80.21 beta=90.00 gamma=90.00
Last column: nearest neighbours and their distance in Å.
Sites, in units of the cell vectors:
Hf  0.7500  0.4667  0.8802  9 Hf 3.03-3.31, 1 Sc 3.13, 2 Cd 3.26
Hf  0.2500  0.5333  0.1198  9 Hf 3.03-3.31, 1 Sc 3.13, 2 Cd 3.26
Hf  0.2500  0.9408  0.8866  9 Hf 3.02-3.31, 2 Sc 3.21, 1 Cd 3.26
Hf  0.7500  0.0592  0.1134  9 Hf 3.02-3.31, 2 Sc 3.21, 1 Cd 3.26
Sc  0.7500  0.8668  0.6296  5 Cd 3.11-3.27, 3 Hf 3.13-3.21, 4 Sc 3.19-3.27
Sc  0.2500  0.1332  0.3704  5 Cd 3.11-3.27, 3 Hf 3.13-3.21, 4 Sc 3.19-3.27
Cd  0.2500  0.3542  0.6247  5 Sc 3.11-3.27, 4 Cd 3.19-3.24, 3 Hf 3.26
Cd  0.7500  0.6458  0.3753  5 Sc 3.11-3.27, 4 Cd 3.19-3.24, 3 Hf 3.26